1.
! PBE-GGA TlHg5, relaxed; values from VASP
&SYSTEM
  ibrav = 0, nat = 24, ntyp = 2
/
ATOMIC_SPECIES
Hg 200.59 Hg.upf
Tl 204.38 Tl.upf
CELL_PARAMETERS angstrom
-0.867 -2.841 5.829
7.023 -2.886 -0.362
4.836 11.006 6.085
ATOMIC_POSITIONS crystal
Hg 0.500 0.648 0.025
Hg 0.255 0.340 0.142
Hg 0.745 0.340 0.142
Hg 0.000 0.933 0.177
Hg 0.500 0.922 0.189
Hg 0.000 0.584 0.300
Hg 0.249 0.152 0.345
Hg 0.751 0.152 0.345
Hg 0.000 0.862 0.469
Hg 0.500 0.888 0.480
Hg 0.500 0.352 0.525
Hg 0.255 0.660 0.642
Hg 0.745 0.660 0.642
Hg 0.000 0.067 0.677
Hg 0.500 0.078 0.689
Hg 0.000 0.416 0.800
Hg 0.249 0.848 0.845
Hg 0.751 0.848 0.845
Hg 0.000 0.138 0.969
Hg 0.500 0.112 0.980
Tl 0.000 0.630 0.014
Tl 0.500 0.574 0.322
Tl 0.000 0.370 0.514
Tl 0.500 0.426 0.822
! **SG**: No. 26
! **Energy relative to the lowest polymorph listed for this composition**: 29 meV per atom

=====

2.
! PBE-GGA LiHfPt2, relaxed; values from VASP
&SYSTEM
  ibrav = 0, nat = 4, ntyp = 3
/
ATOMIC_SPECIES
Hf 178.49 Hf.upf
Li 6.94 Li.upf
Pt 195.08 Pt.upf
CELL_PARAMETERS angstrom
-3.668 1.578 2.083
-2.270 3.469 -1.757
-4.072 -0.657 -1.806
ATOMIC_POSITIONS crystal
Hf 0.250 0.250 0.250
Li 0.500 0.500 0.500
Pt 0.000 0.000 0.000
Pt 0.750 0.750 0.750
! **SG**: No. 216
! **Energy relative to the lowest polymorph listed for this composition**: 331 meV per atom

=====

3.
! PBE-GGA PrCuPbSe3, relaxed; values from VASP
&SYSTEM
  ibrav = 0, nat = 12, ntyp = 4
/
ATOMIC_SPECIES
Cu 63.55 Cu.upf
Pb 207.20 Pb.upf
Pr 140.91 Pr.upf
Se 78.96 Se.upf
CELL_PARAMETERS angstrom
-9.450 -0.652 2.316
-7.856 -4.066 4.104
3.195 4.697 6.118
ATOMIC_POSITIONS crystal
Cu 0.541 0.541 0.205
Cu 0.459 0.459 0.795
Pb 0.880 0.880 0.433
Pb 0.120 0.120 0.567
Pr 0.161 0.161 0.086
Pr 0.839 0.839 0.914
Se 0.000 0.000 0.000
Se 0.324 0.324 0.156
Se 0.670 0.670 0.337
Se 0.500 0.500 0.500
Se 0.330 0.330 0.663
Se 0.676 0.676 0.844
! **Total energy**: -4.6983 eV per atom
! **SG**: No. 12

=====

4.
! PBE-GGA Nb4SiSN2, relaxed; values from VASP
&SYSTEM
  ibrav = 0, nat = 8, ntyp = 4
/
ATOMIC_SPECIES
N 14.01 N.upf
Nb 92.91 Nb.upf
S 32.06 S.upf
Si 28.09 Si.upf
CELL_PARAMETERS angstrom
3.243 0.000 0.000
-1.621 2.808 0.000
0.000 0.000 12.047
ATOMIC_POSITIONS crystal
N 0.667 0.333 0.253
N 0.667 0.333 0.747
Nb 0.000 0.000 0.158
Nb 0.333 0.667 0.349
Nb 0.333 0.667 0.651
Nb 0.000 0.000 0.842
S 0.000 0.000 0.500
Si 0.333 0.667 0.000
! **Total energy**: -9.0653 eV per atom
! **SG**: No. 187

=====

5.
! PBE-GGA Li2CoAg, relaxed; values from VASP
&SYSTEM
  ibrav = 0, nat = 4, ntyp = 3
/
ATOMIC_SPECIES
Ag 107.87 Ag.upf
Co 58.93 Co.upf
Li 6.94 Li.upf
CELL_PARAMETERS angstrom
0.000 3.038 3.038
3.038 0.000 3.038
3.038 3.038 0.000
ATOMIC_POSITIONS crystal
Ag 0.500 0.500 0.500
Co 0.750 0.750 0.750
Li 0.000 0.000 0.000
Li 0.250 0.250 0.250
! **Total energy**: -3.2382 eV per atom
! **SG**: No. 216

=====

6.
! PBE-GGA CoGe2C2, relaxed; values from VASP
&SYSTEM
  ibrav = 0, nat = 10, ntyp = 3
/
ATOMIC_SPECIES
C 12.01 C.upf
Co 58.93 Co.upf
Ge 72.64 Ge.upf
CELL_PARAMETERS angstrom
-1.263 0.865 2.611
-1.712 -1.217 -2.180
2.360 -13.194 5.510
ATOMIC_POSITIONS crystal
C 0.667 0.333 0.203
C 0.667 0.333 0.297
C 0.333 0.667 0.703
C 0.333 0.667 0.797
Co 0.000 0.000 0.000
Co 0.000 0.000 0.500
Ge 0.333 0.667 0.125
Ge 0.333 0.667 0.375
Ge 0.667 0.333 0.625
Ge 0.667 0.333 0.875
! **Total energy**: -6.3221 eV per atom
! **SG**: No. 194

=====

- What is the formula in the third record?
  PrCuPbSe3

=====

What did the first record say?
! PBE-GGA TlHg5, relaxed; values from VASP
&SYSTEM
  ibrav = 0, nat = 24, ntyp = 2
/
ATOMIC_SPECIES
Hg 200.59 Hg.upf
Tl 204.38 Tl.upf
CELL_PARAMETERS angstrom
-0.867 -2.841 5.829
7.023 -2.886 -0.362
4.836 11.006 6.085
ATOMIC_POSITIONS crystal
Hg 0.500 0.648 0.025
Hg 0.255 0.340 0.142
Hg 0.745 0.340 0.142
Hg 0.000 0.933 0.177
Hg 0.500 0.922 0.189
Hg 0.000 0.584 0.300
Hg 0.249 0.152 0.345
Hg 0.751 0.152 0.345
Hg 0.000 0.862 0.469
Hg 0.500 0.888 0.480
Hg 0.500 0.352 0.525
Hg 0.255 0.660 0.642
Hg 0.745 0.660 0.642
Hg 0.000 0.067 0.677
Hg 0.500 0.078 0.689
Hg 0.000 0.416 0.800
Hg 0.249 0.848 0.845
Hg 0.751 0.848 0.845
Hg 0.000 0.138 0.969
Hg 0.500 0.112 0.980
Tl 0.000 0.630 0.014
Tl 0.500 0.574 0.322
Tl 0.000 0.370 0.514
Tl 0.500 0.426 0.822
! **SG**: No. 26
! **Energy relative to the lowest polymorph listed for this composition**: 29 meV per atom